CaTaCu after structural relaxation, computed with GGA-PBE.

- density of states at the Fermi level (states/eV/f.u.) = 3.67
- calculated formation energy (eV/atom) = 0.73

Cell lengths 4.7758, 4.7758, 3.0389 Å; angles 90.00, 90.00, 120.00 degrees
Last column: nearest neighbours and their distance in Å.
Fractional coordinates of all 3 atoms:
Ca  0.0000  0.0000  0.0064  2 Ca 3.04, 6 Cu 3.08-3.22, 6 Ta 3.11-3.19
Ta  0.3333  0.6667  0.5347  3 Cu 2.77, 2 Ta 3.04
Cu  0.6667  0.3333  0.4588  3 Ta 2.77, 2 Cu 3.04, 3 Ca 3.08


CaTa2Cu after structural relaxation, computed with GGA-PBE.

- density of states at the Fermi level (states/eV/f.u.) = 5.28
- calculated formation energy (eV/atom) = 0.65

Cell lengths 5.1358, 3.9211, 3.9211 Å; angles 90.00, 90.00, 90.00 degrees
Last column: nearest neighbours and their distance in Å.
Fractional coordinates of all 4 atoms:
Ta  0.0000  0.0000  0.0000  4 Ta 2.77
Ta  0.0000  0.5000  0.5000  4 Ta 2.77
Cu  0.5000  0.0000  0.5000  4 Ca 2.77
Ca  0.5000  0.5000  0.0000  4 Cu 2.77


Question: Which value of calculated formation energy does entry 2 give?
Answer: 0.65 eV/atom


Question: Look up the density of states at the Fermi level of the first one.
Answer: 3.67 states/eV/f.u.


Question: What is the formula in the second record?
Answer: CaTa2Cu